Record 1
Material: LaZnCl2
Method: DFT, PBE
State: optimized geometry

Cell and atoms, written as POSCAR:
```
LaZnCl2
1.0
3.5832 0.0000 0.0000
0.0000 3.5832 0.0000
0.0000 0.0000 9.4238
Cl Zn La
2 1 1
Cartesian
0.0000 0.0000 3.9738
0.0000 0.0000 0.7381
1.7916 1.7916 7.0678
1.7916 1.7916 2.3559
```

Values from the calculation:
For the relative energy among the computed polymorphs, the calculation gives 0.000 eV per atom. Its magnetic moment is 0.0000 μB per atom. For the uncorrected formation energy, the calculation gives -5.32 eV per formula unit.


Record 2
Material: LaZn2Cl
Method: DFT, PBE
State: optimized geometry

Cell and atoms, written as POSCAR:
```
LaZn2Cl
1.0
6.3410 -0.0100 0.0000
3.8113 5.0678 0.0000
-5.0762 -2.5289 2.8365
Zn La Cl
2 1 1
Cartesian
5.0762 2.5289 0.0000
0.0000 0.0000 0.0000
3.1705 -0.0050 1.4183
1.9057 2.5339 1.4183
```

Values from the calculation:
For the relative energy among the computed polymorphs, the calculation gives 0.058 eV per atom. Its magnetic moment is 0.0000 μB per atom. For the uncorrected formation energy, the calculation gives -2.63 eV per formula unit.